No. 1
Density functional theory data (meta-GGA SCAN) for a PBEsol-optimized structure of TcPtAu2.

```
TcPtAu2
1.0
0.000 3.158 3.158
3.158 0.000 3.158
3.158 3.158 0.000
Tc Pt Au
1 1 2
Direct
0.000 0.000 0.000 Tc
0.500 0.500 0.500 Pt
0.250 0.250 0.250 Au
0.750 0.750 0.750 Au
```

Computed properties:
Fermi-level density of states, states/eV per cell: 2.96
SG: Fm-3m (225)
Energy above the most stable polymorph in this dataset, meV per atom: 208
Energy of formation, eV/atom: 0.320
Total DFT energy (no corrections), eV/cell: -242.29

No. 2
Density functional theory data (meta-GGA SCAN) for a PBEsol-optimized structure of TcPt2Au.

```
TcPt2Au
1.0
0.000 3.128 3.128
3.128 0.000 3.128
3.128 3.128 0.000
Tc Pt Au
1 2 1
Direct
0.000 0.000 0.000 Tc
0.250 0.250 0.250 Pt
0.500 0.500 0.500 Pt
0.750 0.750 0.750 Au
```

Computed properties:
Fermi-level density of states, states/eV per cell: 1.92
SG: F-43m (216)
Energy above the most stable polymorph in this dataset, meV per atom: 414
Energy of formation, eV/atom: 0.259
Total DFT energy (no corrections), eV/cell: -243.57

No. 3
Density functional theory data (meta-GGA SCAN) for a PBEsol-optimized structure of TcPt2Au.

```
TcPt2Au
1.0
4.767 0.000 0.000
0.000 4.767 0.000
0.000 0.000 2.724
Tc Pt Au
1 2 1
Direct
0.000 0.000 0.000 Tc
0.000 0.500 0.500 Pt
0.500 0.000 0.500 Pt
0.500 0.500 0.000 Au
```

Computed properties:
Fermi-level density of states, states/eV per cell: 3.16
SG: P4/mmm (123)
Energy above the most stable polymorph in this dataset, meV per atom: 329
Energy of formation, eV/atom: 0.174
Total DFT energy (no corrections), eV/cell: -243.91

No. 4
Density functional theory data (meta-GGA SCAN) for a PBEsol-optimized structure of TcPt2Au.

```
TcPt2Au
1.0
4.557 -1.379 0.000
4.557 1.379 0.000
-0.795 0.000 4.796
Tc Pt Au
1 2 1
Direct
0.000 0.000 0.000 Tc
0.256 0.256 0.762 Pt
0.744 0.744 0.238 Pt
0.500 0.500 0.500 Au
```

Computed properties:
Fermi-level density of states, states/eV per cell: 2.70
SG: C2/m (12)
Energy above the most stable polymorph in this dataset, meV per atom: 201
Energy of formation, eV/atom: 0.046
Total DFT energy (no corrections), eV/cell: -244.42

No. 5
Density functional theory data (meta-GGA SCAN) for a PBEsol-optimized structure of TcPtAu2.

```
TcPtAu2
1.0
2.772 0.000 0.000
0.000 3.810 0.000
0.000 0.000 5.964
Tc Pt Au
1 1 2
Direct
0.000 0.000 0.000 Tc
0.500 0.500 0.800 Pt
0.000 0.000 0.527 Au
0.500 0.500 0.266 Au
```

Computed properties:
Fermi-level density of states, states/eV per cell: 1.89
SG: Pmm2 (25)
Energy above the most stable polymorph in this dataset, meV per atom: 0
Energy of formation, eV/atom: 0.112
Total DFT energy (no corrections), eV/cell: -243.12

No. 6
Density functional theory data (meta-GGA SCAN) for a PBEsol-optimized structure of TcPtAu.

```
TcPtAu
1.0
0.000 3.006 3.006
3.006 0.000 3.006
3.006 3.006 0.000
Tc Pt Au
1 1 1
Direct
0.000 0.000 0.000 Tc
0.250 0.250 0.250 Pt
0.750 0.750 0.750 Au
```

Computed properties:
Fermi-level density of states, states/eV per cell: 3.19
SG: F-43m (216)
Energy of formation, eV/atom: 0.586
Total DFT energy (no corrections), eV/cell: -172.65

No. 7
Density functional theory data (meta-GGA SCAN) for a PBEsol-optimized structure of TePtAu2.

```
TePtAu2
1.0
0.000 2.826 4.946
2.742 0.000 4.946
2.742 2.826 0.000
Te Pt Au
1 1 2
Direct
0.000 0.000 0.000 Te
0.500 0.500 0.500 Pt
0.000 0.500 0.500 Au
0.500 0.000 0.000 Au
```

Computed properties:
Formation energy from raw total energies, eV/atom: 0.021
Fermi-level density of states, states/eV per cell: 2.12
SG: Fmmm (69)
Total DFT energy (no corrections), eV/cell: -245.67

No. 8
Density functional theory data (meta-GGA SCAN) for a PBEsol-optimized structure of TePtAu2.

```
TePtAu2
1.0
3.584 0.000 0.000
0.000 3.584 0.000
0.000 0.000 5.762
Te Pt Au
1 1 2
Direct
0.000 0.000 0.000 Te
0.500 0.500 0.802 Pt
0.000 0.000 0.526 Au
0.500 0.500 0.316 Au
```

Computed properties:
Formation energy from raw total energies, eV/atom: 0.057
Fermi-level density of states, states/eV per cell: 1.26
SG: P4mm (99)
Total DFT energy (no corrections), eV/cell: -245.53

No. 9
Density functional theory data (meta-GGA SCAN) for a PBEsol-optimized structure of TePt2Au.

```
TePt2Au
1.0
4.889 -1.740 0.000
4.889 1.740 0.000
-1.440 0.000 4.187
Te Pt Au
1 2 1
Direct
0.000 0.000 0.000 Te
0.450 0.450 0.469 Pt
0.722 0.722 0.188 Pt
0.211 0.211 0.679 Au
```

Computed properties:
Formation energy from raw total energies, eV/atom: 0.093
Fermi-level density of states, states/eV per cell: 2.04
SG: Cm (8)
Total DFT energy (no corrections), eV/cell: -246.42

No. 10
Density functional theory data (meta-GGA SCAN) for a PBEsol-optimized structure of TePtAu3.

```
TePtAu3
1.0
5.011 0.000 0.000
0.000 5.011 0.000
0.000 0.000 5.011
Te Pt Au
1 1 3
Direct
0.000 0.000 0.000 Te
0.500 0.500 0.500 Pt
0.000 0.000 0.500 Au
0.000 0.500 0.000 Au
0.500 0.000 0.000 Au
```

Computed properties:
Formation energy from raw total energies, eV/atom: 1.105
Fermi-level density of states, states/eV per cell: 3.16
SG: Pm-3m (221)
Total DFT energy (no corrections), eV/cell: -309.39

No. 11
Density functional theory data (meta-GGA SCAN) for a PBEsol-optimized structure of TePtAu2.

```
TePtAu2
1.0
2.743 -2.854 0.000
2.743 2.854 0.000
0.000 0.000 4.901
Te Pt Au
1 1 2
Direct
0.000 0.000 0.000 Te
0.500 0.500 0.000 Pt
0.257 0.743 0.500 Au
0.743 0.257 0.500 Au
```

Computed properties:
Formation energy from raw total energies, eV/atom: -0.002
Fermi-level density of states, states/eV per cell: 1.52
SG: Cmmm (65)
Total DFT energy (no corrections), eV/cell: -245.76

No. 12
Density functional theory data (meta-GGA SCAN) for a PBEsol-optimized structure of Ti2Pt2Au.

```
Ti2Pt2Au
1.0
7.488 0.000 0.000
0.000 7.488 0.000
0.000 0.000 2.841
Ti Pt Au
4 4 2
Direct
0.167 0.333 0.000 Ti
0.333 0.833 0.000 Ti
0.667 0.167 0.000 Ti
0.833 0.667 0.000 Ti
0.131 0.631 0.500 Pt
0.369 0.131 0.500 Pt
0.631 0.869 0.500 Pt
0.869 0.369 0.500 Pt
0.000 0.000 0.500 Au
0.500 0.500 0.500 Au
```

Computed properties:
Fermi-level density of states, states/eV per cell: 7.07
SG: P4/mbm (127)
Energy of formation, eV/atom: -0.949
Total DFT energy (no corrections), eV/cell: -492.69